The following is a DFT calculation (PBE) of a geometry-optimized Pr2Ga3CuPd4 structure.

a b c (Å): 4.338 4.338 10.330
angles (deg): 90.00 90.00 90.00
Element x y z (fractional)
Pr: 0.000 0.500 0.247
Pr: 0.500 0.000 0.753
Ga: 0.000 0.000 0.000
Ga: 0.000 0.500 0.628
Ga: 0.500 0.000 0.372
Cu: 0.500 0.500 0.000
Pd: 0.000 0.000 0.500
Pd: 0.000 0.500 0.869
Pd: 0.500 0.000 0.131
Pd: 0.500 0.500 0.500

SG: No. 115
Calculated total energy, eV per atom: -5.070
V, Å³/cell: 194.4
Energy relative to the elements, eV per atom: -0.720